[1]
# Sc3GaN (PBE, relaxed)
# D(E_F): 5.70 states/eV/f.u.
# uncorrected energy: -30.1 eV/f.u.
# formation energy from raw total energies: 50 meV per atom
# calculated volume: 20.7 Å³/atom
data_Sc3GaN
_chemical_formula_sum 'Sc6 Ga2 N2'
_cell_length_a 4.0646
_cell_length_b 4.0646
_cell_length_c 14.4337
_cell_angle_alpha 90.00
_cell_angle_beta 90.00
_cell_angle_gamma 120.00
_symmetry_space_group_name_H-M 'P 63/m m c'
_symmetry_Int_Tables_number 194
_symmetry_space_group_name_Hall '-P 6c 2c'
loop_
_atom_site_label
_atom_site_type_symbol
_atom_site_fract_x
_atom_site_fract_y
_atom_site_fract_z
Sc1 Sc 0.0000 0.0000 0.2500
Sc2 Sc 0.3333 0.6667 0.0652
Ga1 Ga 0.3333 0.6667 0.2500
N1 N 0.0000 0.0000 0.0000

***

[2]
# Ba2HfTaAl (PBE, relaxed)
# D(E_F): 8.23 states/eV/f.u.
# uncorrected energy: -22.2 eV/f.u.
# calculated volume: 35.8 Å³/atom
# E_form: 139.1 kJ per mole of atoms
data_Ba2HfTaAl
_chemical_formula_sum 'Ba2 Hf1 Ta1 Al1'
_cell_length_a 5.8786
_cell_length_b 5.8786
_cell_length_c 5.1825
_cell_angle_alpha 90.00
_cell_angle_beta 90.00
_cell_angle_gamma 90.00
_symmetry_space_group_name_H-M 'P 4/m m m'
_symmetry_Int_Tables_number 123
_symmetry_space_group_name_Hall '-P 4 2'
loop_
_atom_site_label
_atom_site_type_symbol
_atom_site_fract_x
_atom_site_fract_y
_atom_site_fract_z
Ba1 Ba 0.0000 0.5000 0.0000
Hf1 Hf 0.0000 0.0000 0.5000
Ta1 Ta 0.5000 0.5000 0.0000
Al1 Al 0.5000 0.5000 0.5000

***

[3]
# TaCr4P (PBE, relaxed)
# D(E_F): 5.14 states/eV/f.u.
# uncorrected energy: -55.0 eV/f.u.
# calculated volume: 12.9 Å³/atom
# E_form: 11.4 kJ per mole of atoms
data_TaCr4P
_chemical_formula_sum 'Ta4 Cr16 P4'
_cell_length_a 6.7608
_cell_length_b 6.7608
_cell_length_c 6.7608
_cell_angle_alpha 90.00
_cell_angle_beta 90.00
_cell_angle_gamma 90.00
_symmetry_space_group_name_H-M 'F -4 3 m'
_symmetry_Int_Tables_number 216
_symmetry_space_group_name_Hall 'F -4 2 3'
loop_
_atom_site_label
_atom_site_type_symbol
_atom_site_fract_x
_atom_site_fract_y
_atom_site_fract_z
Ta1 Ta 0.0000 0.0000 0.0000
Cr1 Cr 0.1239 0.1239 0.6239
P1 P 0.2500 0.2500 0.2500

***

[4]
# TlBi2Sb (PBE, relaxed)
# D(E_F): 1.86 states/eV/f.u.
# uncorrected energy: -13.8 eV/f.u.
# formation energy from raw total energies: 109 meV per atom
# calculated volume: 30.8 Å³/atom
data_TlBi2Sb
_chemical_formula_sum 'Tl1 Bi2 Sb1'
_cell_length_a 4.9783
_cell_length_b 4.9783
_cell_length_c 4.9706
_cell_angle_alpha 90.00
_cell_angle_beta 90.00
_cell_angle_gamma 90.00
_symmetry_space_group_name_H-M 'P 4/m m m'
_symmetry_Int_Tables_number 123
_symmetry_space_group_name_Hall '-P 4 2'
loop_
_atom_site_label
_atom_site_type_symbol
_atom_site_fract_x
_atom_site_fract_y
_atom_site_fract_z
Tl1 Tl 0.0000 0.0000 0.0000
Bi1 Bi 0.0000 0.5000 0.5000
Sb1 Sb 0.5000 0.5000 0.0000

***

[5]
# Rb2ScTaBr6 (PBE, relaxed)
# D(E_F): 4.61 states/eV/f.u.
# uncorrected energy: -41.2 eV/f.u.
# formation energy from raw total energies: -1101 meV per atom
# calculated volume: 31.5 Å³/atom
data_Rb2ScTaBr6
_chemical_formula_sum 'Rb8 Sc4 Ta4 Br24'
_cell_length_a 10.8059
_cell_length_b 10.8059
_cell_length_c 10.8059
_cell_angle_alpha 90.00
_cell_angle_beta 90.00
_cell_angle_gamma 90.00
_symmetry_space_group_name_H-M 'F m -3 m'
_symmetry_Int_Tables_number 225
_symmetry_space_group_name_Hall '-F 4 2 3'
loop_
_atom_site_label
_atom_site_type_symbol
_atom_site_fract_x
_atom_site_fract_y
_atom_site_fract_z
Rb1 Rb 0.2500 0.2500 0.2500
Sc1 Sc 0.0000 0.0000 0.0000
Ta1 Ta 0.0000 0.0000 0.5000
Br1 Br 0.0000 0.0000 0.2518

***

[6]
# TlCu2Sn (PBE, relaxed)
# D(E_F): 1.64 states/eV/f.u.
# uncorrected energy: -13.1 eV/f.u.
# calculated volume: 21.8 Å³/atom
# E_form: 34.8 kJ per mole of atoms
data_TlCu2Sn
_chemical_formula_sum 'Tl4 Cu8 Sn4'
_cell_length_a 7.1646
_cell_length_b 7.1646
_cell_length_c 6.7796
_cell_angle_alpha 90.00
_cell_angle_beta 90.00
_cell_angle_gamma 90.00
_symmetry_space_group_name_H-M 'I -4 2 d'
_symmetry_Int_Tables_number 122
_symmetry_space_group_name_Hall 'I -4 2bw'
loop_
_atom_site_label
_atom_site_type_symbol
_atom_site_fract_x
_atom_site_fract_y
_atom_site_fract_z
Tl1 Tl 0.0000 0.0000 0.0000
Cu1 Cu 0.2390 0.2500 0.6250
Sn1 Sn 0.0000 0.0000 0.5000

***

[7]
# Sr2Tl3Rh (PBE, relaxed)
# D(E_F): 4.15 states/eV/f.u.
# uncorrected energy: -18.4 eV/f.u.
# calculated volume: 32.5 Å³/atom
# E_form: -8.6 kJ per mole of atoms
data_Sr2Tl3Rh
_chemical_formula_sum 'Sr4 Tl6 Rh2'
_cell_length_a 5.4650
_cell_length_b 5.5037
_cell_length_c 12.9647
_cell_angle_alpha 90.00
_cell_angle_beta 90.00
_cell_angle_gamma 90.00
_symmetry_space_group_name_H-M 'I m m m'
_symmetry_Int_Tables_number 71
_symmetry_space_group_name_Hall '-I 2 2'
loop_
_atom_site_label
_atom_site_type_symbol
_atom_site_fract_x
_atom_site_fract_y
_atom_site_fract_z
Sr1 Sr 0.0000 0.0000 0.2362
Tl1 Tl 0.0000 0.5000 0.1078
Tl2 Tl 0.0000 0.5000 0.5000
Rh1 Rh 0.0000 0.0000 0.0000

***

Question: Which of these has the lowest calculated volume?
Answer: TaCr4P